The following is a DFT calculation (PBE) of a geometry-optimized Li2Ga5Co2 structure.

Structure (POSCAR):
```
Li2Ga5Co2
1.0
-0.444 -4.901 4.319
-2.175 -3.875 -4.622
7.388 0.107 0.881
Co Ga Li
4 10 4
direct
0.840 0.350 0.000
0.660 0.850 0.000
0.160 0.650 0.000
0.340 0.150 0.000
0.147 0.474 0.241
0.853 0.767 0.241
0.853 0.526 0.759
0.000 0.000 0.000
0.500 0.500 0.000
0.353 0.974 0.241
0.353 0.733 0.759
0.147 0.233 0.759
0.647 0.267 0.241
0.647 0.026 0.759
0.500 0.291 0.582
0.000 0.791 0.582
0.000 0.209 0.418
0.500 0.709 0.418
```

The calculated total energy comes out at -0.139 hartree per atom. The total moment comes out at 0.00 μB per formula unit.